Here is a relaxed structure of Sr2NdAl3Au12 from Alexandria. Energies are from GGA-PBE.

Geometry as CIF:
```
data_Sr2NdAl3Au12
_space_group_name_H-M_alt 'R -3 m'
_space_group_IT_number 166
_space_group_name_Hall '-R 3 2"'
_cell_length_a 9.0930
_cell_length_b 9.0930
_cell_length_c 18.8150
_cell_angle_alpha 90.00
_cell_angle_beta 90.00
_cell_angle_gamma 120.00
loop_
_atom_site_label
_atom_site_fract_x
_atom_site_fract_y
_atom_site_fract_z
_atom_site_occupancy
Sr1 0.0000 0.0000 0.0983 1
Nd1 0.0000 0.0000 0.5000 1
Al1 0.0000 0.5000 0.0000 1
Au1 0.0259 0.5129 0.3147 1
Au2 0.0297 0.5148 0.8664 1
```

Values from the calculation:
Size of the total moment ... 0.0 μB per formula unit
Calculated volume ... 1347.3 Å³/cell
DFT formation energy ... -268 meV per atom



Here is a relaxed structure of Tb2NdAlAu4 from Alexandria. Energies are from GGA-PBE.

Geometry as CIF:
```
data_Tb2NdAlAu4
_space_group_name_H-M_alt 'R -3 m'
_space_group_IT_number 166
_space_group_name_Hall '-R 3 2"'
_cell_length_a 4.9823
_cell_length_b 4.9823
_cell_length_c 25.4070
_cell_angle_alpha 90.00
_cell_angle_beta 90.00
_cell_angle_gamma 120.00
loop_
_atom_site_label
_atom_site_fract_x
_atom_site_fract_y
_atom_site_fract_z
_atom_site_occupancy
Tb1 0.0000 0.0000 0.2396 1
Nd1 0.0000 0.0000 0.0000 1
Al1 0.0000 0.0000 0.5000 1
Au1 0.0000 0.0000 0.1218 1
Au2 0.0000 0.0000 0.3914 1
```

Values from the calculation:
Size of the total moment ... 0.0 μB per formula unit
Calculated volume ... 546.2 Å³/cell
DFT formation energy ... -732 meV per atom



Here is a relaxed structure of TbNdAlAu from Alexandria. Energies are from GGA-PBE.

Geometry as CIF:
```
data_TbNdAlAu
_space_group_name_H-M_alt 'F -4 3 m'
_space_group_IT_number 216
_space_group_name_Hall 'F -4 2 3'
_cell_length_a 7.400
_cell_length_b 7.400
_cell_length_c 7.400
_cell_angle_alpha 90.00
_cell_angle_beta 90.00
_cell_angle_gamma 90.00
loop_
_atom_site_label
_atom_site_fract_x
_atom_site_fract_y
_atom_site_fract_z
_atom_site_occupancy
Tb1 0.000 0.000 0.000 1
Nd1 0.000 0.000 0.500 1
Al1 0.250 0.250 0.250 1
Au1 0.250 0.250 0.750 1
```

Values from the calculation:
Size of the total moment ... 0.1 μB per formula unit
Calculated volume ... 405.3 Å³/cell
DFT formation energy ... -510 meV per atom



Here is a relaxed structure of TbNd2Al4Au3 from Alexandria. Energies are from GGA-PBE.

Geometry as CIF:
```
data_TbNd2Al4Au3
_space_group_name_H-M_alt 'P -4 m 2'
_space_group_IT_number 115
_cell_length_a 4.358
_cell_length_b 4.358
_cell_length_c 11.774
_cell_angle_alpha 90.00
_cell_angle_beta 90.00
_cell_angle_gamma 90.00
loop_
_space_group_symop_operation_xyz
'x,y,z'
'y,-x,-z'
'-x,-y,z'
'-y,x,-z'
'-x,y,z'
'-y,-x,-z'
'x,-y,z'
'y,x,-z'
loop_
_atom_site_label
_atom_site_fract_x
_atom_site_fract_y
_atom_site_fract_z
_atom_site_occupancy
Tb1 0.000 0.000 0.000 1
Nd1 0.000 0.500 0.731 1
Al1 0.000 0.000 0.500 1
Al2 0.000 0.500 0.168 1
Al3 0.500 0.500 0.500 1
Au1 0.000 0.500 0.380 1
Au2 0.500 0.500 0.000 1
```

Values from the calculation:
Size of the total moment ... 0.0 μB per formula unit
Calculated volume ... 223.6 Å³/cell
DFT formation energy ... -614 meV per atom



Here is a relaxed structure of Nd2TiAl4Au3 from Alexandria. Energies are from GGA-PBE.

Geometry as CIF:
```
data_Nd2TiAl4Au3
_space_group_name_H-M_alt 'P -4 m 2'
_space_group_IT_number 115
_cell_length_a 4.300
_cell_length_b 4.300
_cell_length_c 11.180
_cell_angle_alpha 90.00
_cell_angle_beta 90.00
_cell_angle_gamma 90.00
loop_
_space_group_symop_operation_xyz
'x,y,z'
'y,-x,-z'
'-x,-y,z'
'-y,x,-z'
'-x,y,z'
'-y,-x,-z'
'x,-y,z'
'y,x,-z'
loop_
_atom_site_label
_atom_site_fract_x
_atom_site_fract_y
_atom_site_fract_z
_atom_site_occupancy
Nd1 0.000 0.500 0.250 1
Ti1 0.000 0.000 0.500 1
Al1 0.000 0.000 0.000 1
Al2 0.000 0.500 0.642 1
Al3 0.500 0.500 0.000 1
Au1 0.000 0.500 0.870 1
Au2 0.500 0.500 0.500 1
```

Values from the calculation:
Size of the total moment ... 0.0 μB per formula unit
Calculated volume ... 206.7 Å³/cell
DFT formation energy ... -619 meV per atom



Here is a relaxed structure of Nd2Al4TlAu3 from Alexandria. Energies are from GGA-PBE.

Geometry as CIF:
```
data_Nd2Al4TlAu3
_space_group_name_H-M_alt 'P -4 m 2'
_space_group_IT_number 115
_cell_length_a 4.460
_cell_length_b 4.460
_cell_length_c 10.699
_cell_angle_alpha 90.00
_cell_angle_beta 90.00
_cell_angle_gamma 90.00
loop_
_space_group_symop_operation_xyz
'x,y,z'
'y,-x,-z'
'-x,-y,z'
'-y,x,-z'
'-x,y,z'
'-y,-x,-z'
'x,-y,z'
'y,x,-z'
loop_
_atom_site_label
_atom_site_fract_x
_atom_site_fract_y
_atom_site_fract_z
_atom_site_occupancy
Nd1 0.000 0.500 0.243 1
Al1 0.000 0.000 0.000 1
Al2 0.000 0.500 0.646 1
Al3 0.500 0.500 0.000 1
Tl1 0.000 0.000 0.500 1
Au1 0.000 0.500 0.878 1
Au2 0.500 0.500 0.500 1
```

Values from the calculation:
Size of the total moment ... 0.0 μB per formula unit
Calculated volume ... 212.8 Å³/cell
DFT formation energy ... -607 meV per atom



Here is a relaxed structure of NdTmAlAu from Alexandria. Energies are from GGA-PBE.

Geometry as CIF:
```
data_NdTmAlAu
_space_group_name_H-M_alt 'F -4 3 m'
_space_group_IT_number 216
_space_group_name_Hall 'F -4 2 3'
_cell_length_a 7.337
_cell_length_b 7.337
_cell_length_c 7.337
_cell_angle_alpha 90.00
_cell_angle_beta 90.00
_cell_angle_gamma 90.00
loop_
_atom_site_label
_atom_site_fract_x
_atom_site_fract_y
_atom_site_fract_z
_atom_site_occupancy
Nd1 0.000 0.000 0.000 1
Tm1 0.000 0.000 0.500 1
Al1 0.250 0.250 0.250 1
Au1 0.250 0.250 0.750 1
```

Values from the calculation:
Size of the total moment ... 0.0 μB per formula unit
Calculated volume ... 395.0 Å³/cell
DFT formation energy ... -522 meV per atom



Here is a relaxed structure of Nd2TmAl4Au3 from Alexandria. Energies are from GGA-PBE.

Geometry as CIF:
```
data_Nd2TmAl4Au3
_space_group_name_H-M_alt 'P -4 m 2'
_space_group_IT_number 115
_cell_length_a 4.336
_cell_length_b 4.336
_cell_length_c 11.727
_cell_angle_alpha 90.00
_cell_angle_beta 90.00
_cell_angle_gamma 90.00
loop_
_space_group_symop_operation_xyz
'x,y,z'
'y,-x,-z'
'-x,-y,z'
'-y,x,-z'
'-x,y,z'
'-y,-x,-z'
'x,-y,z'
'y,x,-z'
loop_
_atom_site_label
_atom_site_fract_x
_atom_site_fract_y
_atom_site_fract_z
_atom_site_occupancy
Nd1 0.000 0.500 0.233 1
Tm1 0.000 0.000 0.500 1
Al1 0.000 0.000 0.000 1
Al2 0.000 0.500 0.665 1
Al3 0.500 0.500 0.000 1
Au1 0.000 0.500 0.878 1
Au2 0.500 0.500 0.500 1
```

Values from the calculation:
Size of the total moment ... 0.0 μB per formula unit
Calculated volume ... 220.5 Å³/cell
DFT formation energy ... -631 meV per atom